The following is a DFT calculation (PBE) of HfVBr3 after structural relaxation.

Cell: 5.263 5.263 5.263 Å, 90.00 90.00 90.00°
Element x y z (fractional)
Hf 0.000 0.000 0.000
V 0.500 0.500 0.500
Br 0.000 0.000 0.500
Br 0.000 0.500 0.000
Br 0.500 0.000 0.000

## Properties
Formation energy from raw total energies: 0.114 eV/atom
Energy above the most stable polymorph in this dataset: 0.0 meV per atom
Spin magnetization: 4.5 μB per cell